YTaCr: optimized geometry, PBE-GGA.

Lattice parameters (Å, degrees): 4.4883 4.4883 4.4883 60.00 60.00 60.00
With the nearest neighbours (Å) after each atom.
Sites, in units of the cell vectors:
Cr (0.7500, 0.7500, 0.7500)  4 Ta 2.75, 4 Y 2.75
Ta (0.0000, 0.0000, 0.0000)  4 Cr 2.75
Y (0.5000, 0.5000, 0.5000)  4 Cr 2.75

## Properties
ΔH_f (0 K) = 0.824 eV per atom
Symmetry = No. 216
Energy relative to the lowest polymorph listed for this composition = 510.5 meV per atom